1.
# Rb2Pm2TlO6, relaxed, DFT PBE-GGA
# * energy relative to the elements, uncorrected: -1957 meV per atom
data_Rb2Pm2TlO6
_chemical_formula_sum 'Rb2 Pm2 Tl1 O6'
_cell_length_a 6.3758
_cell_length_b 6.3758
_cell_length_c 6.9257
_cell_angle_alpha 96.52
_cell_angle_beta 96.52
_cell_angle_gamma 123.47
_space_group_name_H-M_alt 'P 1'
_space_group_IT_number 1
_space_group_name_Hall 'P 1'
loop_
_atom_site_label
_atom_site_fract_x
_atom_site_fract_y
_atom_site_fract_z
O1 0.9559 0.5883 0.3169
O2 0.2562 0.2562 0.3408
O3 0.4117 0.0441 0.6831
O4 0.7438 0.7438 0.6592
O5 0.0441 0.4117 0.6831
O6 0.5883 0.9559 0.3169
Pm1 0.3346 0.6654 0.5000
Pm2 0.6654 0.3346 0.5000
Rb1 0.8429 0.1571 0.0000
Rb2 0.1571 0.8429 0.0000
Tl1 0.0000 0.0000 0.5000


2.
# ReSiSN2, relaxed, DFT PBE-GGA
# * energy relative to the elements, uncorrected: 1083 meV per atom
data_ReSiSN2
_chemical_formula_sum 'Re1 Si1 S1 N2'
_cell_length_a 3.5415
_cell_length_b 3.5415
_cell_length_c 4.7355
_cell_angle_alpha 90.00
_cell_angle_beta 90.00
_cell_angle_gamma 90.00
_space_group_name_H-M_alt 'P 1'
_space_group_IT_number 1
_space_group_name_Hall 'P 1'
loop_
_atom_site_label
_atom_site_fract_x
_atom_site_fract_y
_atom_site_fract_z
N1 0.0000 0.5000 0.0000
N2 0.5000 0.0000 0.0000
Re1 0.5000 0.5000 0.5000
S1 0.0000 0.0000 0.5000
Si1 0.0000 0.0000 0.0000


3.
# LaMgIO2, relaxed, DFT PBE-GGA
# * energy relative to the elements, uncorrected: -1420 meV per atom
data_LaMgIO2
_chemical_formula_sum 'La1 Mg1 I1 O2'
_cell_length_a 4.4615
_cell_length_b 4.4615
_cell_length_c 6.7404
_cell_angle_alpha 90.00
_cell_angle_beta 90.00
_cell_angle_gamma 90.00
_space_group_name_H-M_alt 'P 1'
_space_group_IT_number 1
_space_group_name_Hall 'P 1'
loop_
_atom_site_label
_atom_site_fract_x
_atom_site_fract_y
_atom_site_fract_z
La1 0.0000 0.0000 0.0000
O1 0.5000 0.0000 0.0000
O2 0.0000 0.5000 0.0000
Mg1 0.5000 0.5000 0.5000
I1 0.0000 0.0000 0.5000


4.
# SnRu3C, relaxed, DFT PBE-GGA
# * energy of formation: 3191 meV per atom
data_SnRu3C
_chemical_formula_sum 'Sn1 Ru3 C1'
_cell_length_a 4.8978
_cell_length_b 4.8978
_cell_length_c 4.8978
_cell_angle_alpha 90.00
_cell_angle_beta 90.00
_cell_angle_gamma 90.00
_space_group_name_H-M_alt 'P 1'
_space_group_IT_number 1
_space_group_name_Hall 'P 1'
loop_
_atom_site_label
_atom_site_fract_x
_atom_site_fract_y
_atom_site_fract_z
C1 0.5000 0.5000 0.5000
Ru1 0.5000 0.0000 0.0000
Ru2 0.0000 0.5000 0.0000
Ru3 0.0000 0.0000 0.5000
Sn1 0.0000 0.0000 0.0000


5.
# ZrNbVCu, relaxed, DFT PBE-GGA
# * energy of formation: 108 meV per atom
data_ZrNbVCu
_chemical_formula_sum 'Zr1 Nb1 V1 Cu1'
_cell_length_a 4.5490
_cell_length_b 4.5490
_cell_length_c 4.5490
_cell_angle_alpha 60.00
_cell_angle_beta 60.00
_cell_angle_gamma 60.00
_space_group_name_H-M_alt 'P 1'
_space_group_IT_number 1
_space_group_name_Hall 'P 1'
loop_
_atom_site_label
_atom_site_fract_x
_atom_site_fract_y
_atom_site_fract_z
Cu1 0.2500 0.2500 0.2500
Nb1 0.5000 0.5000 0.5000
Zr1 0.0000 0.0000 0.0000
V1 0.7500 0.7500 0.7500


6.
# Na2H6PtO6, relaxed, DFT PBE-GGA
# * E: -75.31 eV for the cell shown
data_Na2H6PtO6
_chemical_formula_sum 'Na2 H6 Pt1 O6'
_cell_length_a 5.9374
_cell_length_b 5.9374
_cell_length_c 4.5915
_cell_angle_alpha 90.00
_cell_angle_beta 90.00
_cell_angle_gamma 120.00
_space_group_name_H-M_alt 'P 1'
_space_group_IT_number 1
_space_group_name_Hall 'P 1'
loop_
_atom_site_label
_atom_site_fract_x
_atom_site_fract_y
_atom_site_fract_z
H1 0.8152 0.6765 0.4085
H2 0.3235 0.1387 0.4085
H3 0.6765 0.8613 0.5915
H4 0.8613 0.1848 0.4085
H5 0.1848 0.3235 0.5915
H6 0.1387 0.8152 0.5915
O1 0.9842 0.2790 0.2482
O2 0.0158 0.7210 0.7518
O3 0.7052 0.9842 0.7518
O4 0.2790 0.2948 0.7518
O5 0.7210 0.7052 0.2482
O6 0.2948 0.0158 0.2482
Na1 0.6667 0.3333 0.9483
Na2 0.3333 0.6667 0.0517
Pt1 0.0000 0.0000 0.0000


7.
# Nd2SnI, relaxed, DFT PBE-GGA
# * energy relative to the elements, uncorrected: -878 meV per atom
data_Nd2SnI
_chemical_formula_sum 'Nd8 Sn4 I4'
_cell_length_a 7.9192
_cell_length_b 8.0016
_cell_length_c 10.1522
_cell_angle_alpha 105.27
_cell_angle_beta 104.95
_cell_angle_gamma 109.58
_space_group_name_H-M_alt 'P 1'
_space_group_IT_number 1
_space_group_name_Hall 'P 1'
loop_
_atom_site_label
_atom_site_fract_x
_atom_site_fract_y
_atom_site_fract_z
Sn1 0.0565 0.8065 0.6130
Sn2 0.6819 0.9319 0.8638
Sn3 0.3181 0.0681 0.1362
Sn4 0.9435 0.1935 0.3870
Nd1 0.4200 0.1470 0.8746
Nd2 0.1780 0.9518 0.3767
Nd3 0.3013 0.5752 0.6233
Nd4 0.0454 0.2723 0.1254
Nd5 0.6987 0.4248 0.3767
Nd6 0.8220 0.0482 0.6233
Nd7 0.9546 0.7277 0.8746
Nd8 0.5800 0.8530 0.1254
I1 0.1921 0.4421 0.8842
I2 0.8079 0.5579 0.1158
I3 0.5681 0.3181 0.6361
I4 0.4319 0.6819 0.3639


8.
# KTaCd2, relaxed, DFT PBE-GGA
# * energy of formation: 547 meV per atom
data_KTaCd2
_chemical_formula_sum 'K1 Ta1 Cd2'
_cell_length_a 11.7994
_cell_length_b 11.7994
_cell_length_c 11.7994
_cell_angle_alpha 14.85
_cell_angle_beta 14.85
_cell_angle_gamma 14.85
_space_group_name_H-M_alt 'P 1'
_space_group_IT_number 1
_space_group_name_Hall 'P 1'
loop_
_atom_site_label
_atom_site_fract_x
_atom_site_fract_y
_atom_site_fract_z
K1 0.4996 0.4996 0.4996
Cd1 0.0028 0.0028 0.0028
Cd2 0.2564 0.2564 0.2564
Ta1 0.7412 0.7412 0.7412


9.
# InGeF2, relaxed, DFT PBE-GGA
# * energy relative to the elements, uncorrected: -1102 meV per atom
data_InGeF2
_chemical_formula_sum 'In2 Ge2 F4'
_cell_length_a 5.8203
_cell_length_b 5.8203
_cell_length_c 7.0444
_cell_angle_alpha 65.60
_cell_angle_beta 65.60
_cell_angle_gamma 90.00
_space_group_name_H-M_alt 'P 1'
_space_group_IT_number 1
_space_group_name_Hall 'P 1'
loop_
_atom_site_label
_atom_site_fract_x
_atom_site_fract_y
_atom_site_fract_z
F1 0.3750 0.5007 0.7500
F2 0.4993 0.1250 0.2500
F3 0.2507 0.6250 0.2500
F4 0.8750 0.7493 0.7500
In1 0.0000 0.0000 0.0000
In2 0.7500 0.2500 0.5000
Ge1 0.2500 0.7500 0.5000
Ge2 0.5000 0.5000 0.0000


10.
# Bi2ClF, relaxed, DFT PBE-GGA
# * energy relative to the elements, uncorrected: -422 meV per atom
data_Bi2ClF
_chemical_formula_sum 'Bi2 Cl1 F1'
_cell_length_a 5.0441
_cell_length_b 5.0441
_cell_length_c 5.0441
_cell_angle_alpha 60.00
_cell_angle_beta 60.00
_cell_angle_gamma 60.00
_space_group_name_H-M_alt 'P 1'
_space_group_IT_number 1
_space_group_name_Hall 'P 1'
loop_
_atom_site_label
_atom_site_fract_x
_atom_site_fract_y
_atom_site_fract_z
F1 0.0000 0.0000 0.0000
Cl1 0.5000 0.5000 0.5000
Bi1 0.2500 0.2500 0.2500
Bi2 0.7500 0.7500 0.7500


11.
# LaHo4Cd5, relaxed, DFT PBE-GGA
# * energy of formation: -317 meV per atom
data_LaHo4Cd5
_chemical_formula_sum 'La1 Ho4 Cd5'
_cell_length_a 3.7423
_cell_length_b 3.7423
_cell_length_c 19.1154
_cell_angle_alpha 90.00
_cell_angle_beta 90.00
_cell_angle_gamma 90.00
_space_group_name_H-M_alt 'P 1'
_space_group_IT_number 1
_space_group_name_Hall 'P 1'
loop_
_atom_site_label
_atom_site_fract_x
_atom_site_fract_y
_atom_site_fract_z
Cd1 0.5000 0.5000 0.6946
Cd2 0.5000 0.5000 0.1145
Cd3 0.5000 0.5000 0.8855
Cd4 0.5000 0.5000 0.5000
Cd5 0.5000 0.5000 0.3054
Ho1 0.0000 0.0000 0.7915
Ho2 0.0000 0.0000 0.4031
Ho3 0.0000 0.0000 0.5969
Ho4 0.0000 0.0000 0.2085
La1 0.0000 0.0000 0.0000


12.
# SmAlNiN, relaxed, DFT PBE-GGA
# * energy relative to the elements, uncorrected: -929 meV per atom
data_SmAlNiN
_chemical_formula_sum 'Sm2 Al2 Ni2 N2'
_cell_length_a 3.6916
_cell_length_b 3.6916
_cell_length_c 8.9379
_cell_angle_alpha 90.00
_cell_angle_beta 90.00
_cell_angle_gamma 90.00
_space_group_name_H-M_alt 'P 1'
_space_group_IT_number 1
_space_group_name_Hall 'P 1'
loop_
_atom_site_label
_atom_site_fract_x
_atom_site_fract_y
_atom_site_fract_z
N1 0.5000 0.0000 0.8755
N2 0.0000 0.5000 0.1245
Sm1 0.0000 0.5000 0.8612
Sm2 0.5000 0.0000 0.1388
Ni1 0.0000 0.0000 0.5000
Ni2 0.5000 0.5000 0.5000
Al1 0.5000 0.0000 0.6640
Al2 0.0000 0.5000 0.3360